A geometry-optimized LiMoRu2 structure. Source: the Alexandria database, functional GGA-PBE.

Lattice parameters (Å, degrees): 4.9995 4.9995 4.9995 143.81 130.49 62.85
With the nearest neighbours (Å) after each atom.
Atoms (fractional coordinates):
Li1 0.0000 0.0000 0.0000  6 Ru 2.61-2.63, 2 Mo 2.69
Mo1 0.2580 0.7580 0.5000  6 Ru 2.56-2.61, 2 Li 2.69
Ru1 0.4969 0.4969 0.0000  2 Mo 2.56, 4 Li 2.61, 2 Ru 2.67
Ru2 0.7513 0.2513 0.5000  4 Mo 2.61, 2 Li 2.63, 2 Ru 2.67

As for the space group: Imm2 (44). The magnetization is 0.0 μB per formula unit. The energy of formation from the pure elements comes out at 0.1708 eV/atom.